(1)
Entry from the Alexandria database: an optimized crystal structure of NdInPdPb (PBE).

Structure (CIF):
```
data_NdInPdPb
_cell_length_a 7.338
_cell_length_b 7.338
_cell_length_c 7.338
_cell_angle_alpha 90.00
_cell_angle_beta 90.00
_cell_angle_gamma 90.00
_space_group_name_H-M_alt 'F -4 3 m'
_space_group_IT_number 216
_space_group_name_Hall 'F -4 2 3'
loop_
_atom_site_label
_atom_site_type_symbol
_atom_site_fract_x
_atom_site_fract_y
_atom_site_fract_z
Nd1 Nd 0.000 0.000 0.000
In1 In 0.250 0.250 0.750
Pd1 Pd 0.250 0.250 0.250
Pb1 Pb 0.000 0.000 0.500
```

Output
As for the energy relative to the elements: -0.41 eV/atom.

(2)
Entry from the Alexandria database: an optimized crystal structure of PrNdInPb (PBE).

Structure (CIF):
```
data_PrNdInPb
_cell_length_a 7.857
_cell_length_b 7.857
_cell_length_c 7.857
_cell_angle_alpha 90.00
_cell_angle_beta 90.00
_cell_angle_gamma 90.00
_space_group_name_H-M_alt 'F -4 3 m'
_space_group_IT_number 216
_space_group_name_Hall 'F -4 2 3'
loop_
_atom_site_label
_atom_site_type_symbol
_atom_site_fract_x
_atom_site_fract_y
_atom_site_fract_z
Pr1 Pr 0.000 0.000 0.000
Nd1 Nd 0.000 0.000 0.500
In1 In 0.250 0.250 0.250
Pb1 Pb 0.250 0.250 0.750
```

Output
The energy relative to the lowest polymorph listed for this composition is 0.0648 eV/atom. As for the energy relative to the elements: -0.47 eV/atom.

(3)
Entry from the Alexandria database: an optimized crystal structure of PrNdInPb (PBE).

Structure (CIF):
```
data_PrNdInPb
_cell_length_a 4.480
_cell_length_b 4.753
_cell_length_c 11.951
_cell_angle_alpha 90.00
_cell_angle_beta 90.00
_cell_angle_gamma 90.00
_space_group_name_H-M_alt 'A m m 2'
_space_group_IT_number 38
_space_group_name_Hall 'A 2 -2'
loop_
_atom_site_label
_atom_site_type_symbol
_atom_site_fract_x
_atom_site_fract_y
_atom_site_fract_z
Pr1 Pr 0.000 0.000 0.000
Nd1 Nd 0.500 0.000 0.727
In1 In 0.500 0.000 0.452
Pb1 Pb 0.000 0.000 0.277
```

Output
The energy relative to the lowest polymorph listed for this composition is 0.0000 eV/atom. As for the energy relative to the elements: -0.53 eV/atom.

(4)
Entry from the Alexandria database: an optimized crystal structure of NdIn2PbSe4 (PBE).

Structure (CIF):
```
data_NdIn2PbSe4
_cell_length_a 7.595
_cell_length_b 4.262
_cell_length_c 7.646
_cell_angle_alpha 90.00
_cell_angle_beta 108.86
_cell_angle_gamma 90.00
_space_group_name_H-M_alt 'P 1 2/m 1'
_space_group_IT_number 10
_space_group_name_Hall '-P 2y'
loop_
_atom_site_label
_atom_site_type_symbol
_atom_site_fract_x
_atom_site_fract_y
_atom_site_fract_z
Nd1 Nd 0.000 0.000 0.000
In1 In 0.000 0.500 0.500
In2 In 0.500 0.000 0.500
Pb1 Pb 0.500 0.500 0.000
Se1 Se 0.229 0.500 0.235
Se2 Se 0.233 0.000 0.752
```

Output
The calculation puts the uncorrected formation energy at -6.79 eV per formula unit.

(5)
Entry from the Alexandria database: an optimized crystal structure of NdSmInPb (PBE).

Structure (CIF):
```
data_NdSmInPb
_cell_length_a 5.081
_cell_length_b 5.081
_cell_length_c 9.043
_cell_angle_alpha 90.00
_cell_angle_beta 90.00
_cell_angle_gamma 90.00
_space_group_name_H-M_alt 'I -4 m 2'
_space_group_IT_number 119
_space_group_name_Hall 'I -4 -2'
loop_
_atom_site_label
_atom_site_type_symbol
_atom_site_fract_x
_atom_site_fract_y
_atom_site_fract_z
Nd1 Nd 0.000 0.000 0.000
Sm1 Sm 0.000 0.000 0.500
In1 In 0.000 0.500 0.750
Pb1 Pb 0.000 0.500 0.250
```

Output
The energy relative to the lowest polymorph listed for this composition is 0.0000 eV/atom. As for the energy relative to the elements: -0.50 eV/atom.

(6)
Entry from the Alexandria database: an optimized crystal structure of NdSmInPb (PBE).

Structure (CIF):
```
data_NdSmInPb
_cell_length_a 7.791
_cell_length_b 7.791
_cell_length_c 7.791
_cell_angle_alpha 90.00
_cell_angle_beta 90.00
_cell_angle_gamma 90.00
_space_group_name_H-M_alt 'F -4 3 m'
_space_group_IT_number 216
_space_group_name_Hall 'F -4 2 3'
loop_
_atom_site_label
_atom_site_type_symbol
_atom_site_fract_x
_atom_site_fract_y
_atom_site_fract_z
Nd1 Nd 0.000 0.000 0.000
Sm1 Sm 0.000 0.000 0.500
In1 In 0.250 0.250 0.750
Pb1 Pb 0.250 0.250 0.250
```

Output
The energy relative to the lowest polymorph listed for this composition is 0.0407 eV/atom. As for the energy relative to the elements: -0.45 eV/atom.

(7)
Entry from the Alexandria database: an optimized crystal structure of NdInSnPb (PBE).

Structure (CIF):
```
data_NdInSnPb
_cell_length_a 4.779
_cell_length_b 4.810
_cell_length_c 4.850
_cell_angle_alpha 90.00
_cell_angle_beta 90.00
_cell_angle_gamma 90.00
_space_group_name_H-M_alt 'P m m m'
_space_group_IT_number 47
_space_group_name_Hall '-P 2 2'
loop_
_atom_site_label
_atom_site_type_symbol
_atom_site_fract_x
_atom_site_fract_y
_atom_site_fract_z
Nd1 Nd 0.000 0.000 0.000
In1 In 0.500 0.500 0.000
Sn1 Sn 0.500 0.000 0.500
Pb1 Pb 0.000 0.500 0.500
```

Output
As for the energy relative to the elements: -0.45 eV/atom.

(8)
Entry from the Alexandria database: an optimized crystal structure of SrNdInPb (PBE).

Structure (CIF):
```
data_SrNdInPb
_cell_length_a 8.003
_cell_length_b 8.003
_cell_length_c 8.003
_cell_angle_alpha 90.00
_cell_angle_beta 90.00
_cell_angle_gamma 90.00
_space_group_name_H-M_alt 'F -4 3 m'
_space_group_IT_number 216
_space_group_name_Hall 'F -4 2 3'
loop_
_atom_site_label
_atom_site_type_symbol
_atom_site_fract_x
_atom_site_fract_y
_atom_site_fract_z
Sr1 Sr 0.000 0.000 0.000
Nd1 Nd 0.000 0.000 0.500
In1 In 0.250 0.250 0.750
Pb1 Pb 0.250 0.250 0.250
```

Output
As for the energy relative to the elements: -0.43 eV/atom.

(9)
Entry from the Alexandria database: an optimized crystal structure of TbNdInPb (PBE).

Structure (CIF):
```
data_TbNdInPb
_cell_length_a 7.741
_cell_length_b 7.741
_cell_length_c 7.741
_cell_angle_alpha 90.00
_cell_angle_beta 90.00
_cell_angle_gamma 90.00
_space_group_name_H-M_alt 'F -4 3 m'
_space_group_IT_number 216
_space_group_name_Hall 'F -4 2 3'
loop_
_atom_site_label
_atom_site_type_symbol
_atom_site_fract_x
_atom_site_fract_y
_atom_site_fract_z
Tb1 Tb 0.000 0.000 0.000
Nd1 Nd 0.000 0.000 0.500
In1 In 0.250 0.250 0.250
Pb1 Pb 0.250 0.250 0.750
```

Output
The energy relative to the lowest polymorph listed for this composition is 0.0428 eV/atom. As for the energy relative to the elements: -0.44 eV/atom.

(10)
Entry from the Alexandria database: an optimized crystal structure of TbNdInPb (PBE).

Structure (CIF):
```
data_TbNdInPb
_cell_length_a 5.046
_cell_length_b 5.046
_cell_length_c 8.992
_cell_angle_alpha 90.00
_cell_angle_beta 90.00
_cell_angle_gamma 90.00
_space_group_name_H-M_alt 'I -4 m 2'
_space_group_IT_number 119
_space_group_name_Hall 'I -4 -2'
loop_
_atom_site_label
_atom_site_type_symbol
_atom_site_fract_x
_atom_site_fract_y
_atom_site_fract_z
Tb1 Tb 0.000 0.000 0.000
Nd1 Nd 0.000 0.000 0.500
In1 In 0.000 0.500 0.250
Pb1 Pb 0.000 0.500 0.750
```

Output
The energy relative to the lowest polymorph listed for this composition is 0.0000 eV/atom. As for the energy relative to the elements: -0.48 eV/atom.

(11)
Entry from the Alexandria database: an optimized crystal structure of Nd2InTe6Pb3 (PBE).

Structure (CIF):
```
data_Nd2InTe6Pb3
_cell_length_a 20.086
_cell_length_b 4.565
_cell_length_c 9.362
_cell_angle_alpha 90.00
_cell_angle_beta 103.53
_cell_angle_gamma 90.00
_space_group_name_H-M_alt 'C 1 2/m 1'
_space_group_IT_number 12
_space_group_name_Hall '-C 2y'
loop_
_atom_site_label
_atom_site_type_symbol
_atom_site_fract_x
_atom_site_fract_y
_atom_site_fract_z
Nd1 Nd 0.168 0.000 0.346
In1 In 0.000 0.500 0.000
Te1 Te 0.006 0.000 0.256
Te2 Te 0.168 0.500 0.591
Te3 Te 0.173 0.500 0.103
Pb1 Pb 0.000 0.500 0.500
Pb2 Pb 0.159 0.000 0.848
```

Output
The calculation puts the uncorrected formation energy at -8.63 eV per formula unit.

(12)
Entry from the Alexandria database: an optimized crystal structure of Nd6InTe3Pb2 (PBE).

Structure (CIF):
```
data_Nd6InTe3Pb2
_cell_length_a 20.002
_cell_length_b 4.508
_cell_length_c 9.152
_cell_angle_alpha 90.00
_cell_angle_beta 106.13
_cell_angle_gamma 90.00
_space_group_name_H-M_alt 'C 1 2/m 1'
_space_group_IT_number 12
_space_group_name_Hall '-C 2y'
loop_
_atom_site_label
_atom_site_type_symbol
_atom_site_fract_x
_atom_site_fract_y
_atom_site_fract_z
Nd1 Nd 0.001 0.000 0.249
Nd2 Nd 0.166 0.500 0.582
Nd3 Nd 0.168 0.500 0.078
In1 In 0.000 0.500 0.500
Te1 Te 0.000 0.500 0.000
Te2 Te 0.168 0.000 0.331
Pb1 Pb 0.165 0.000 0.828
```

Output
The calculation puts the uncorrected formation energy at -11.71 eV per formula unit.